[1]
# SnBr4 (PBE, relaxed)
data_SnBr4
_chemical_formula_sum 'Sn1 Br4'
_cell_length_a 5.563
_cell_length_b 5.563
_cell_length_c 5.563
_cell_angle_alpha 90.00
_cell_angle_beta 90.00
_cell_angle_gamma 90.00
_space_group_name_H-M_alt 'P 1'
_space_group_IT_number 1
_space_group_name_Hall 'P 1'
loop_
_atom_site_label
_atom_site_type_symbol
_atom_site_fract_x
_atom_site_fract_y
_atom_site_fract_z
Sn1 Sn 0.500 0.500 0.500
Br1 Br 0.000 0.000 0.000
Br2 Br 0.500 0.000 0.500
Br3 Br 0.000 0.500 0.500
Br4 Br 0.500 0.500 0.000
# Formation energy from raw total energies: -0.18 eV per atom
# Volume: 172.1 Å³ per cell
# Symmetry: Pm-3m
# E_tot: -11.617 eV/cell


[2]
# HoPu3N4 (PBE, relaxed)
data_HoPu3N4
_chemical_formula_sum 'Ho1 Pu3 N4'
_cell_length_a 3.478
_cell_length_b 6.021
_cell_length_c 6.021
_cell_angle_alpha 109.40
_cell_angle_beta 90.00
_cell_angle_gamma 90.00
_space_group_name_H-M_alt 'P 1'
_space_group_IT_number 1
_space_group_name_Hall 'P 1'
loop_
_atom_site_label
_atom_site_type_symbol
_atom_site_fract_x
_atom_site_fract_y
_atom_site_fract_z
Ho1 Ho 0.500 0.000 0.000
Pu1 Pu 0.000 0.000 0.500
Pu2 Pu 0.500 0.500 0.500
Pu3 Pu 0.000 0.500 0.000
N1 N 0.000 0.253 0.253
N2 N 0.500 0.749 0.251
N3 N 0.000 0.747 0.747
N4 N 0.500 0.251 0.749
# Formation energy from raw total energies: -1.37 eV per atom
# Volume: 118.9 Å³ per cell
# Symmetry: Cmmm
# E_tot: -91.846 eV/cell


[3]
# CuNi2BRu (PBE, relaxed)
data_CuNi2BRu
_chemical_formula_sum 'Cu1 Ni2 B1 Ru1'
_cell_length_a 4.159
_cell_length_b 4.479
_cell_length_c 4.159
_cell_angle_alpha 90.00
_cell_angle_beta 90.00
_cell_angle_gamma 90.00
_space_group_name_H-M_alt 'P 1'
_space_group_IT_number 1
_space_group_name_Hall 'P 1'
loop_
_atom_site_label
_atom_site_type_symbol
_atom_site_fract_x
_atom_site_fract_y
_atom_site_fract_z
Ru1 Ru 0.000 0.500 0.000
B1 B 0.500 0.500 0.500
Cu1 Cu 0.000 0.000 0.000
Ni1 Ni 0.000 0.000 0.500
Ni2 Ni 0.500 0.000 0.000
# Volume: 77.5 Å³ per cell
# DFT formation energy: 1968 meV per atom
# Symmetry: P4/mmm
# E_tot: -21.772 eV/cell